First-principles (GGA-PBE) data for an optimized crystal structure of RuPtS2N, as listed in Alexandria.

Cell: 4.9254 4.9254 3.6292 Å, 90.00 90.00 90.00°
Positions (direct):
Ru: 0.0000 0.0000 0.0000
Pt: 0.5000 0.5000 0.5000
S: 0.0000 0.5000 0.5000
S: 0.5000 0.0000 0.5000
N: 0.5000 0.5000 0.0000

E_tot: -0.1908 hartree per atom
Energy relative to the elements, uncorrected: 5.935 eV per formula unit
ΔE to the lowest computed polymorph: 426 meV per atom
Magnetization: 0.53 μB/atom